# CuMoSe2 GGA-PBE relaxed
# **Energy relative to the elements, uncorrected**: 741 meV per atom
# **Fermi-level density of states**: 1.081 states/eV per atom
data_CuMoSe2
_cell_length_a 6.508
_cell_length_b 6.508
_cell_length_c 6.508
_cell_angle_alpha 90.00
_cell_angle_beta 90.00
_cell_angle_gamma 90.00
_symmetry_space_group_name_H-M 'F -4 3 m'
_symmetry_Int_Tables_number 216
_symmetry_space_group_name_Hall 'F -4 2 3'
loop_
_atom_site_label
_atom_site_type_symbol
_atom_site_fract_x
_atom_site_fract_y
_atom_site_fract_z
Cu1 Cu 0.000 0.000 0.000
Mo1 Mo 0.250 0.250 0.750
Se1 Se 0.000 0.000 0.500
Se2 Se 0.250 0.250 0.250

***

# CuMoSe GGA-PBE relaxed
# **Energy relative to the elements, uncorrected**: 188 meV per atom
# **Fermi-level density of states**: 0.792 states/eV per atom
data_CuMoSe
_cell_length_a 3.0589
_cell_length_b 3.0589
_cell_length_c 6.3115
_cell_angle_alpha 90.00
_cell_angle_beta 90.00
_cell_angle_gamma 120.00
_symmetry_space_group_name_H-M 'P 3 m 1'
_symmetry_Int_Tables_number 156
loop_
_symmetry_equiv_pos_as_xyz
'x,y,z'
'-y,x-y,z'
'-x+y,-x,z'
'-y,-x,z'
'-x+y,y,z'
'x,x-y,z'
loop_
_atom_site_label
_atom_site_type_symbol
_atom_site_fract_x
_atom_site_fract_y
_atom_site_fract_z
Cu1 Cu 0.0000 0.0000 0.0000
Mo1 Mo 0.6667 0.3333 0.3265
Se1 Se 0.3333 0.6667 0.6079